i.
Computed, not measured: crystalline NaNiBPb at its relaxed geometry at the PBE-GGA level of DFT.

Symmetry: F-43m

```
4
Lattice="0.000 3.212 3.212 3.212 0.000 3.212 3.212 3.212 0.000" Properties=species:S:1:pos:R:3 pbc="T T T"
Na 0.000 0.000 0.000
Ni 1.606 1.606 1.606
B 4.818 4.818 4.818
Pb 3.212 3.212 3.212
```

ii.
Computed, not measured: crystalline NaNiBPb at its relaxed geometry at the PBE-GGA level of DFT.

Symmetry: F-43m

```
4
Lattice="0.000 3.195 3.195 3.195 0.000 3.195 3.195 3.195 0.000" Properties=species:S:1:pos:R:3 pbc="T T T"
Na 0.000 0.000 0.000
Ni 1.598 1.598 1.598
B 3.195 3.195 3.195
Pb 4.793 4.793 4.793
```

Calculated relative energies: i 0.000; ii 0.092, given in eV/atom

i.
Computed, not measured: crystalline NaNiSnB at its relaxed geometry at the PBE-GGA level of DFT.

Symmetry: F-43m

```
4
Lattice="0.000 3.120 3.120 3.120 0.000 3.120 3.120 3.120 0.000" Properties=species:S:1:pos:R:3 pbc="T T T"
Na 0.000 0.000 0.000
Ni 1.560 1.560 1.560
Sn 3.120 3.120 3.120
B 4.680 4.680 4.680
```

ii.
Computed, not measured: crystalline NaNiSnB at its relaxed geometry at the PBE-GGA level of DFT.

Symmetry: F-43m

```
4
Lattice="0.000 3.095 3.095 3.095 0.000 3.095 3.095 3.095 0.000" Properties=species:S:1:pos:R:3 pbc="T T T"
Na 0.000 0.000 0.000
Ni 3.095 3.095 3.095
Sn 4.643 4.643 4.643
B 1.548 1.548 1.548
```

iii.
Computed, not measured: crystalline NaNiSnB at its relaxed geometry at the PBE-GGA level of DFT.

Symmetry: F-43m

```
4
Lattice="0.000 3.115 3.115 3.115 0.000 3.115 3.115 3.115 0.000" Properties=species:S:1:pos:R:3 pbc="T T T"
Na 0.000 0.000 0.000
Ni 1.557 1.557 1.557
Sn 4.672 4.672 4.672
B 3.115 3.115 3.115
```

Calculated relative energies: i 0.000; ii 0.015; iii 0.176, given in eV/atom

i.
Computed, not measured: crystalline NaPaB at its relaxed geometry at the PBE-GGA level of DFT.

Symmetry: F-43m

```
3
Lattice="0.000 3.168 3.168 3.168 0.000 3.168 3.168 3.168 0.000" Properties=species:S:1:pos:R:3 pbc="T T T"
Na 0.000 0.000 0.000
Pa 4.753 4.753 4.753
B 3.168 3.168 3.168
```

ii.
Computed, not measured: crystalline NaPaB at its relaxed geometry at the PBE-GGA level of DFT.

Symmetry: F-43m

```
3
Lattice="0.000 3.074 3.074 3.074 0.000 3.074 3.074 3.074 0.000" Properties=species:S:1:pos:R:3 pbc="T T T"
Na 0.000 0.000 0.000
Pa 3.074 3.074 3.074
B 1.537 1.537 1.537
```

Calculated relative energies: i 0.809; ii 0.000, given in eV/atom

i.
Computed, not measured: crystalline NaBPtPb at its relaxed geometry at the PBE-GGA level of DFT.

Symmetry: F-43m

```
4
Lattice="0.000 3.257 3.257 3.257 0.000 3.257 3.257 3.257 0.000" Properties=species:S:1:pos:R:3 pbc="T T T"
Na 0.000 0.000 0.000
B 1.628 1.628 1.628
Pt 3.257 3.257 3.257
Pb 4.885 4.885 4.885
```

ii.
Computed, not measured: crystalline NaBPtPb at its relaxed geometry at the PBE-GGA level of DFT.

Symmetry: F-43m

```
4
Lattice="0.000 3.327 3.327 3.327 0.000 3.327 3.327 3.327 0.000" Properties=species:S:1:pos:R:3 pbc="T T T"
Na 0.000 0.000 0.000
B 4.991 4.991 4.991
Pt 1.664 1.664 1.664
Pb 3.327 3.327 3.327
```

Calculated relative energies: i 0.000; ii 0.073, given in eV/atom

i.
Computed, not measured: crystalline NaB4Pd at its relaxed geometry at the PBE-GGA level of DFT.

Symmetry: P6/mmm

```
6
Lattice="3.040 0.000 0.000 -1.520 2.633 0.000 0.000 0.000 7.674" Properties=species:S:1:pos:R:3 pbc="T T T"
Na 0.000 0.000 0.000
B 0.000 1.755 2.114
B 0.000 1.755 5.560
B 1.520 0.878 2.114
B 1.520 0.878 5.560
Pd 0.000 0.000 3.837
```

ii.
Computed, not measured: crystalline NaB4Pd at its relaxed geometry at the PBE-GGA level of DFT.

Symmetry: Immm

```
6
Lattice="-1.334 2.825 4.012 1.334 -2.825 4.012 1.334 2.825 -4.012" Properties=species:S:1:pos:R:3 pbc="T T T"
Na 0.000 0.000 0.000
B 1.334 -0.831 2.124
B 1.334 0.831 2.124
B 0.000 1.994 1.887
B 0.000 3.656 1.887
Pd 0.000 0.000 4.012
```

Calculated relative energies: i 0.000; ii 0.027, given in eV/atom

i.
Computed, not measured: crystalline NaSnBPd at its relaxed geometry at the PBE-GGA level of DFT.

Symmetry: F-43m

```
4
Lattice="0.000 3.196 3.196 3.196 0.000 3.196 3.196 3.196 0.000" Properties=species:S:1:pos:R:3 pbc="T T T"
Na 0.000 0.000 0.000
Sn 4.793 4.793 4.793
B 1.598 1.598 1.598
Pd 3.196 3.196 3.196
```

ii.
Computed, not measured: crystalline NaSnBPd at its relaxed geometry at the PBE-GGA level of DFT.

Symmetry: F-43m

```
4
Lattice="0.000 3.218 3.218 3.218 0.000 3.218 3.218 3.218 0.000" Properties=species:S:1:pos:R:3 pbc="T T T"
Na 0.000 0.000 0.000
Sn 3.218 3.218 3.218
B 4.827 4.827 4.827
Pd 1.609 1.609 1.609
```

iii.
Computed, not measured: crystalline NaSnBPd at its relaxed geometry at the PBE-GGA level of DFT.

Symmetry: F-43m

```
4
Lattice="0.000 3.193 3.193 3.193 0.000 3.193 3.193 3.193 0.000" Properties=species:S:1:pos:R:3 pbc="T T T"
Na 0.000 0.000 0.000
Sn 4.790 4.790 4.790
B 3.193 3.193 3.193
Pd 1.597 1.597 1.597
```

Calculated relative energies: i 0.044; ii 0.000; iii 0.146, given in eV/atom

i.
Computed, not measured: crystalline NaPrB4 at its relaxed geometry at the PBE-GGA level of DFT.

Symmetry: P6/mmm

```
6
Lattice="3.166 0.000 0.000 -1.583 2.742 0.000 0.000 0.000 8.602" Properties=species:S:1:pos:R:3 pbc="T T T"
Na 0.000 0.000 0.000
Pr 0.000 0.000 4.301
B 0.000 1.828 2.120
B 0.000 1.828 6.482
B 1.583 0.914 2.120
B 1.583 0.914 6.482
```

ii.
Computed, not measured: crystalline NaPrB4 at its relaxed geometry at the PBE-GGA level of DFT.

Symmetry: Immm

```
6
Lattice="-1.583 2.823 4.241 1.583 -2.823 4.241 1.583 2.823 -4.241" Properties=species:S:1:pos:R:3 pbc="T T T"
Na 0.000 0.000 0.000
Pr 0.000 0.000 4.241
B 1.583 -1.039 2.162
B 1.583 1.039 2.162
B 0.000 1.784 2.079
B 0.000 3.862 2.079
```

Calculated relative energies: i 0.053; ii 0.000, given in eV/atom

i.
Computed, not measured: crystalline NaSmB4 at its relaxed geometry at the PBE-GGA level of DFT.

Symmetry: P6/mmm

```
6
Lattice="3.190 0.000 0.000 -1.595 2.763 0.000 0.000 0.000 8.293" Properties=species:S:1:pos:R:3 pbc="T T T"
Na 0.000 0.000 0.000
Sm 0.000 0.000 4.147
B 0.000 1.842 2.111
B 0.000 1.842 6.183
B 1.595 0.921 2.111
B 1.595 0.921 6.183
```

ii.
Computed, not measured: crystalline NaSmB4 at its relaxed geometry at the PBE-GGA level of DFT.

Symmetry: Immm

```
6
Lattice="-1.581 2.803 4.110 1.581 -2.803 4.110 1.581 2.803 -4.110" Properties=species:S:1:pos:R:3 pbc="T T T"
Na 0.000 0.000 0.000
Sm 0.000 0.000 4.110
B 1.581 -1.018 2.104
B 1.581 1.018 2.104
B 0.000 1.785 2.006
B 0.000 3.821 2.006
```

Calculated relative energies: i 0.047; ii 0.000, given in eV/atom

i.
Computed, not measured: crystalline NaSmB at its relaxed geometry at the PBE-GGA level of DFT.

Symmetry: F-43m

```
3
Lattice="0.000 3.177 3.177 3.177 0.000 3.177 3.177 3.177 0.000" Properties=species:S:1:pos:R:3 pbc="T T T"
Na 0.000 0.000 0.000
Sm 3.177 3.177 3.177
B 1.588 1.588 1.588
```

ii.
Computed, not measured: crystalline NaSmB at its relaxed geometry at the PBE-GGA level of DFT.

Symmetry: F-43m

```
3
Lattice="0.000 3.201 3.201 3.201 0.000 3.201 3.201 3.201 0.000" Properties=species:S:1:pos:R:3 pbc="T T T"
Na 0.000 0.000 0.000
Sm 4.802 4.802 4.802
B 3.201 3.201 3.201
```

Calculated relative energies: i 0.000; ii 0.547, given in eV/atom

i.
Computed, not measured: crystalline NaTmB at its relaxed geometry at the PBE-GGA level of DFT.

Symmetry: F-43m

```
3
Lattice="0.000 3.114 3.114 3.114 0.000 3.114 3.114 3.114 0.000" Properties=species:S:1:pos:R:3 pbc="T T T"
Na 0.000 0.000 0.000
Tm 3.114 3.114 3.114
B 1.557 1.557 1.557
```

ii.
Computed, not measured: crystalline NaTmB at its relaxed geometry at the PBE-GGA level of DFT.

Symmetry: F-43m

```
3
Lattice="0.000 3.116 3.116 3.116 0.000 3.116 3.116 3.116 0.000" Properties=species:S:1:pos:R:3 pbc="T T T"
Na 0.000 0.000 0.000
Tm 4.674 4.674 4.674
B 3.116 3.116 3.116
```

Calculated relative energies: i 0.000; ii 0.552, given in eV/atom

i.
Computed, not measured: crystalline NaUB at its relaxed geometry at the PBE-GGA level of DFT.

Symmetry: F-43m

```
3
Lattice="0.000 3.071 3.071 3.071 0.000 3.071 3.071 3.071 0.000" Properties=species:S:1:pos:R:3 pbc="T T T"
Na 0.000 0.000 0.000
U 3.071 3.071 3.071
B 1.535 1.535 1.535
```

ii.
Computed, not measured: crystalline NaUB at its relaxed geometry at the PBE-GGA level of DFT.

Symmetry: F-43m

```
3
Lattice="0.000 3.152 3.152 3.152 0.000 3.152 3.152 3.152 0.000" Properties=species:S:1:pos:R:3 pbc="T T T"
Na 0.000 0.000 0.000
U 4.728 4.728 4.728
B 3.152 3.152 3.152
```

Calculated relative energies: i 0.000; ii 0.731, given in eV/atom

i.
Computed, not measured: crystalline NaZnB4 at its relaxed geometry at the PBE-GGA level of DFT.

Symmetry: Immm

```
6
Lattice="-1.519 2.629 3.788 1.519 -2.629 3.788 1.519 2.629 -3.788" Properties=species:S:1:pos:R:3 pbc="T T T"
Na 0.000 0.000 0.000
Zn 0.000 0.000 3.788
B 1.519 -0.873 1.892
B 1.519 0.873 1.892
B 0.000 1.757 1.896
B 0.000 3.502 1.896
```

ii.
Computed, not measured: crystalline NaZnB4 at its relaxed geometry at the PBE-GGA level of DFT.

Symmetry: P6/mmm

```
6
Lattice="3.052 0.000 0.000 -1.526 2.643 0.000 0.000 0.000 7.516" Properties=species:S:1:pos:R:3 pbc="T T T"
Na 0.000 0.000 0.000
Zn 0.000 0.000 3.758
B 0.000 1.762 2.105
B 0.000 1.762 5.411
B 1.526 0.881 2.105
B 1.526 0.881 5.411
```

Calculated relative energies: i 0.070; ii 0.000, given in eV/atom

i.
Computed, not measured: crystalline TaNbNiB at its relaxed geometry at the PBE-GGA level of DFT.

Symmetry: F-43m

```
4
Lattice="0.000 3.027 3.027 3.027 0.000 3.027 3.027 3.027 0.000" Properties=species:S:1:pos:R:3 pbc="T T T"
Ta 0.000 0.000 0.000
Nb 1.514 1.514 1.514
Ni 4.541 4.541 4.541
B 3.027 3.027 3.027
```

ii.
Computed, not measured: crystalline TaNbNiB at its relaxed geometry at the PBE-GGA level of DFT.

Symmetry: F-43m

```
4
Lattice="0.000 2.995 2.995 2.995 0.000 2.995 2.995 2.995 0.000" Properties=species:S:1:pos:R:3 pbc="T T T"
Ta 0.000 0.000 0.000
Nb 2.995 2.995 2.995
Ni 4.493 4.493 4.493
B 1.498 1.498 1.498
```

Calculated relative energies: i 0.549; ii 0.000, given in eV/atom

i.
Computed, not measured: crystalline NbTcNiB at its relaxed geometry at the PBE-GGA level of DFT.

Symmetry: F-43m

```
4
Lattice="0.000 2.944 2.944 2.944 0.000 2.944 2.944 2.944 0.000" Properties=species:S:1:pos:R:3 pbc="T T T"
Nb 0.000 0.000 0.000
Tc 1.472 1.472 1.472
Ni 4.415 4.415 4.415
B 2.944 2.944 2.944
```

ii.
Computed, not measured: crystalline NbTcNiB at its relaxed geometry at the PBE-GGA level of DFT.

Symmetry: F-43m

```
4
Lattice="0.000 2.920 2.920 2.920 0.000 2.920 2.920 2.920 0.000" Properties=species:S:1:pos:R:3 pbc="T T T"
Nb 0.000 0.000 0.000
Tc 2.920 2.920 2.920
Ni 1.460 1.460 1.460
B 4.379 4.379 4.379
```

Calculated relative energies: i 0.199; ii 0.000, given in eV/atom